No. 1
# Ga2FeCN, optimized geometry, DFT PBE-GGA
# uncorrected energy: -5.191 eV per atom
# calculated volume: 15.65 A^3/atom
# DOS at the Fermi energy: 0.4253 states/eV/atom
# formation energy without anion corrections: 1222 meV/atom
# theoretical density: 4.696 Mg/m³
data_Ga2FeCN
_chemical_formula_sum 'Ga2 Fe1 C1 N1'
_symmetry_space_group_name_H-M 'P 4/m m m'
_symmetry_Int_Tables_number 123
_symmetry_space_group_name_Hall '-P 4 2'
_cell_length_a 4.685
_cell_length_b 4.685
_cell_length_c 3.566
_cell_angle_alpha 90.00
_cell_angle_beta 90.00
_cell_angle_gamma 90.00
loop_
_atom_site_label
_atom_site_type_symbol
_atom_site_fract_x
_atom_site_fract_y
_atom_site_fract_z
Ga1 Ga 0.000 0.500 0.000
Fe1 Fe 0.000 0.000 0.000
C1 C 0.000 0.000 0.500
N1 N 0.500 0.500 0.500

=====

No. 2
# NdGa2Fe2C, optimized geometry, DFT PBE-GGA
# uncorrected energy: -6.460 eV per atom
# calculated volume: 14.31 A^3/atom
# DOS at the Fermi energy: 0.6512 states/eV/atom
# theoretical density: 7.877 Mg/m³
data_NdGa2Fe2C
_chemical_formula_sum 'Nd1 Ga2 Fe2 C1'
_symmetry_space_group_name_H-M 'P 4/m m m'
_symmetry_Int_Tables_number 123
_symmetry_space_group_name_Hall '-P 4 2'
_cell_length_a 3.891
_cell_length_b 3.891
_cell_length_c 5.674
_cell_angle_alpha 90.00
_cell_angle_beta 90.00
_cell_angle_gamma 90.00
loop_
_atom_site_label
_atom_site_type_symbol
_atom_site_fract_x
_atom_site_fract_y
_atom_site_fract_z
Nd1 Nd 0.000 0.000 0.000
Ga1 Ga 0.500 0.500 0.232
Fe1 Fe 0.000 0.500 0.500
C1 C 0.000 0.000 0.500